Material: CoTcTe2
Method: DFT, PBE
State: relaxed

Computed properties:
- excess energy over the best structure of this formula in the dataset (meV/atom) = 508
- electronic total energy (eV/atom) = -5.4616

a b c (Å): 8.8083 8.8083 8.8083
angles (deg): 22.17 22.17 22.17
Positions (direct):
Co (0.0000, 0.0000, 0.0000)
Tc (0.5000, 0.5000, 0.5000)
Te (0.0940, 0.0940, 0.0940)
Te (0.9060, 0.9060, 0.9060)



Material: CoTcTe2
Method: DFT, PBE
State: relaxed

Computed properties:
- excess energy over the best structure of this formula in the dataset (meV/atom) = 40
- electronic total energy (eV/atom) = -5.9292

a b c (Å): 7.2072 7.2072 7.2072
angles (deg): 31.46 31.46 31.46
Positions (direct):
Co (0.0000, 0.0000, 0.0000)
Tc (0.6994, 0.6994, 0.6994)
Te (0.2714, 0.2714, 0.2714)
Te (0.4481, 0.4481, 0.4481)



no.,ΔE_f (raw) (meV/atom)
1,477
2,10